(1)
Here is a relaxed structure of AlSb2Pt from Alexandria. Energies are from PBEsol.

Cell lengths 6.369, 6.369, 6.369 Å; angles 149.63, 138.57, 52.22 degrees
Positions (direct):
1 Al 0.000 0.000 0.000
2 Sb 0.384 0.384 0.000
3 Sb 0.686 0.186 0.500
4 Pt 0.171 0.671 0.500

Summary:
Density of states at the Fermi level, states/eV per cell: 2.37
Uncorrected formation energy, eV/atom: -0.06
Raw total energy, eV per atom: -5.102
SG: Imm2


(2)
Here is a relaxed structure of NiTeCl from Alexandria. Energies are from PBEsol.

Cell lengths 3.435, 3.435, 6.151 Å; angles 90.00, 90.00, 120.00 degrees
Positions (direct):
1 Ni 0.000 0.000 0.000
2 Te 0.333 0.667 0.745
3 Cl 0.667 0.333 0.209

Summary:
Density of states at the Fermi level, states/eV per cell: 1.77
Uncorrected formation energy, eV/atom: -0.35
Raw total energy, eV per atom: -4.244
SG: P3m1


(3)
Here is a relaxed structure of MoIBr3 from Alexandria. Energies are from PBEsol.

Cell lengths 5.690, 5.690, 5.690 Å; angles 90.00, 90.00, 90.00 degrees
Positions (direct):
1 Mo 0.000 0.000 0.000
2 I 0.500 0.500 0.500
3 Br 0.000 0.500 0.500
4 Br 0.500 0.000 0.500
5 Br 0.500 0.500 0.000

Summary:
Density of states at the Fermi level, states/eV per cell: 2.70
Uncorrected formation energy, eV/atom: 1.11
Raw total energy, eV per atom: -2.716
SG: Pm-3m


(4)
Here is a relaxed structure of GaSn2Pb from Alexandria. Energies are from PBEsol.

Cell lengths 5.235, 5.235, 5.235 Å; angles 60.00, 60.00, 60.00 degrees
Positions (direct):
1 Ga 0.000 0.000 0.000
2 Sn 0.250 0.250 0.250
3 Sn 0.750 0.750 0.750
4 Pb 0.500 0.500 0.500

Summary:
Density of states at the Fermi level, states/eV per cell: 2.14
Raw total energy, eV per atom: -3.876
ΔH_f (0 K), eV/atom: 0.088
SG: Fm-3m


(5)
Here is a relaxed structure of MgNiCl from Alexandria. Energies are from PBEsol.

Cell lengths 4.290, 4.290, 4.290 Å; angles 60.00, 60.00, 60.00 degrees
Positions (direct):
1 Mg 0.000 0.000 0.000
2 Ni 0.250 0.250 0.250
3 Cl 0.750 0.750 0.750

Summary:
Density of states at the Fermi level, states/eV per cell: 3.41
Uncorrected formation energy, eV/atom: 0.31
Raw total energy, eV per atom: -2.984
SG: F-43m


(6)
Here is a relaxed structure of Te2Rh from Alexandria. Energies are from PBEsol.

Cell lengths 6.426, 6.426, 6.426 Å; angles 90.00, 90.00, 90.00 degrees
Positions (direct):
1 Te 0.133 0.133 0.133
2 Te 0.133 0.367 0.633
3 Te 0.367 0.633 0.133
4 Te 0.367 0.867 0.633
5 Te 0.633 0.133 0.367
6 Te 0.633 0.367 0.867
7 Te 0.867 0.633 0.367
8 Te 0.867 0.867 0.867
9 Rh 0.000 0.000 0.500
10 Rh 0.000 0.500 0.000
11 Rh 0.500 0.000 0.000
12 Rh 0.500 0.500 0.500

Summary:
Density of states at the Fermi level, states/eV per cell: 8.55
Uncorrected formation energy, eV/atom: -0.44
Raw total energy, eV per atom: -5.505
SG: Pa-3


(7)
Here is a relaxed structure of Li2ZrTc from Alexandria. Energies are from PBEsol.

Cell lengths 5.704, 5.704, 5.704 Å; angles 148.81, 136.01, 54.91 degrees
Positions (direct):
1 Li 0.233 0.233 0.000
2 Li 0.767 0.767 0.000
3 Zr 0.500 0.000 0.500
4 Tc 0.000 0.500 0.500

Summary:
Density of states at the Fermi level, states/eV per cell: 2.44
Raw total energy, eV per atom: -5.923
ΔH_f (0 K), eV/atom: 0.149
SG: Immm


(8)
Here is a relaxed structure of ScP2Cl from Alexandria. Energies are from PBEsol.

Cell lengths 3.524, 3.524, 5.246 Å; angles 90.00, 90.00, 90.00 degrees
Positions (direct):
1 Sc 0.000 0.000 0.000
2 P 0.000 0.500 0.500
3 P 0.500 0.000 0.500
4 Cl 0.500 0.500 0.000

Summary:
Density of states at the Fermi level, states/eV per cell: 1.01
Uncorrected formation energy, eV/atom: -0.68
Raw total energy, eV per atom: -5.734
SG: P4/mmm


(9)
Here is a relaxed structure of LiMnW2 from Alexandria. Energies are from PBEsol.

Cell lengths 3.910, 3.910, 3.410 Å; angles 90.00, 90.00, 90.00 degrees
Positions (direct):
1 Li 0.000 0.000 0.000
2 Mn 0.500 0.500 0.000
3 W 0.000 0.500 0.500
4 W 0.500 0.000 0.500

Summary:
Density of states at the Fermi level, states/eV per cell: 3.11
Raw total energy, eV per atom: -9.328
ΔH_f (0 K), eV/atom: 0.508
SG: P4/mmm


(10)
Here is a relaxed structure of ZrInMo from Alexandria. Energies are from PBEsol.

Cell lengths 4.563, 4.563, 4.563 Å; angles 60.00, 60.00, 60.00 degrees
Positions (direct):
1 Zr 0.000 0.000 0.000
2 In 0.500 0.500 0.500
3 Mo 0.250 0.250 0.250

Summary:
Density of states at the Fermi level, states/eV per cell: 5.07
Raw total energy, eV per atom: -7.253
ΔH_f (0 K), eV/atom: 0.694
SG: F-43m


(11)
Here is a relaxed structure of LiScFe2 from Alexandria. Energies are from PBEsol.

Cell lengths 8.943, 8.943, 8.943 Å; angles 18.24, 18.24, 18.24 degrees
Positions (direct):
1 Li 0.000 0.000 0.000
2 Sc 0.228 0.228 0.228
3 Fe 0.481 0.481 0.481
4 Fe 0.749 0.749 0.749

Summary:
Density of states at the Fermi level, states/eV per cell: 3.34
Raw total energy, eV per atom: -6.247
ΔH_f (0 K), eV/atom: 0.378
SG: R3m


(12)
Here is a relaxed structure of Rb2BaRe from Alexandria. Energies are from PBEsol.

Cell lengths 5.952, 5.952, 5.952 Å; angles 60.00, 60.00, 60.00 degrees
Positions (direct):
1 Rb 0.250 0.250 0.250
2 Rb 0.750 0.750 0.750
3 Ba 0.000 0.000 0.000
4 Re 0.500 0.500 0.500

Summary:
Density of states at the Fermi level, states/eV per cell: 5.71
Raw total energy, eV per atom: -2.726
ΔH_f (0 K), eV/atom: 1.657
SG: Fm-3m


(13)
Here is a relaxed structure of Ce4Al23Ni6 from Alexandria. Energies are from PBEsol.

Cell lengths 8.178, 8.178, 18.140 Å; angles 112.39, 112.39, 28.86 degrees
Positions (direct):
1 Ce 0.071 0.071 0.408
2 Ce 0.235 0.235 0.782
3 Ce 0.765 0.765 0.218
4 Ce 0.929 0.929 0.592
5 Al 0.032 0.032 0.780
6 Al 0.068 0.068 0.940
7 Al 0.109 0.109 0.162
8 Al 0.123 0.123 0.596
9 Al 0.225 0.225 0.323
10 Al 0.244 0.244 0.954
11 Al 0.298 0.298 0.479
12 Al 0.357 0.357 0.142
13 Al 0.410 0.410 0.721
14 Al 0.410 0.410 0.951
15 Al 0.418 0.418 0.313
16 Al 0.500 0.500 0.500
17 Al 0.582 0.582 0.687
18 Al 0.590 0.590 0.049
19 Al 0.590 0.590 0.279
20 Al 0.643 0.643 0.858
21 Al 0.702 0.702 0.521
22 Al 0.756 0.756 0.046
23 Al 0.775 0.775 0.677
24 Al 0.877 0.877 0.404
25 Al 0.891 0.891 0.838
26 Al 0.932 0.932 0.060
27 Al 0.968 0.968 0.220
28 Ni 0.190 0.190 0.068
29 Ni 0.274 0.274 0.602
30 Ni 0.492 0.492 0.866
31 Ni 0.508 0.508 0.134
32 Ni 0.726 0.726 0.398
33 Ni 0.810 0.810 0.932

Summary:
Density of states at the Fermi level, states/eV per cell: 19.91
Raw total energy, eV per atom: -5.263
ΔH_f (0 K), eV/atom: -0.492
SG: C2/m


(14)
Here is a relaxed structure of CdGaSeN2 from Alexandria. Energies are from PBEsol.

Cell lengths 4.158, 4.158, 5.686 Å; angles 90.00, 90.00, 90.00 degrees
Positions (direct):
1 Cd 0.000 0.000 0.000
2 Ga 0.500 0.500 0.500
3 Se 0.000 0.000 0.500
4 N 0.000 0.500 0.000
5 N 0.500 0.000 0.000

Summary:
Density of states at the Fermi level, states/eV per cell: 2.56
Uncorrected formation energy, eV/atom: 1.55
Raw total energy, eV per atom: -3.535
SG: P4/mmm


(15)
Here is a relaxed structure of MnSCl3 from Alexandria. Energies are from PBEsol.

Cell lengths 4.770, 4.770, 4.770 Å; angles 90.00, 90.00, 90.00 degrees
Positions (direct):
1 Mn 0.000 0.000 0.000
2 S 0.500 0.500 0.500
3 Cl 0.000 0.000 0.500
4 Cl 0.000 0.500 0.000
5 Cl 0.500 0.000 0.000

Summary:
Density of states at the Fermi level, states/eV per cell: 3.07
Uncorrected formation energy, eV/atom: -0.05
Raw total energy, eV per atom: -4.086
SG: Pm-3m


(16)
Here is a relaxed structure of MnSiOs from Alexandria. Energies are from PBEsol.

Cell lengths 3.865, 3.865, 3.865 Å; angles 60.00, 60.00, 60.00 degrees
Positions (direct):
1 Mn 0.000 0.000 0.000
2 Si 0.250 0.250 0.250
3 Os 0.750 0.750 0.750

Summary:
Density of states at the Fermi level, states/eV per cell: 1.76
Uncorrected formation energy, eV/atom: -0.13
Raw total energy, eV per atom: -9.367
SG: F-43m


(17)
Here is a relaxed structure of InPt5 from Alexandria. Energies are from PBEsol.

Cell lengths 5.469, 5.469, 6.618 Å; angles 106.63, 106.63, 29.75 degrees
Positions (direct):
1 In 0.000 0.000 0.000
2 Pt 0.050 0.050 0.597
3 Pt 0.334 0.334 0.668
4 Pt 0.384 0.384 0.272
5 Pt 0.665 0.665 0.332
6 Pt 0.718 0.718 0.937

Summary:
Density of states at the Fermi level, states/eV per cell: 7.06
Raw total energy, eV per atom: -6.444
ΔH_f (0 K), eV/atom: -0.144
SG: Cm


(18)
Here is a relaxed structure of Eu2ZnSb2 from Alexandria. Energies are from PBEsol.

Cell lengths 4.551, 4.551, 7.858 Å; angles 90.00, 90.00, 120.00 degrees
Positions (direct):
1 Eu 0.000 0.000 0.229
2 Eu 0.000 0.000 0.771
3 Zn 0.667 0.333 0.500
4 Sb 0.333 0.667 0.500
5 Sb 0.667 0.333 0.000

Summary:
Density of states at the Fermi level, states/eV per cell: 17.28
Uncorrected formation energy, eV/atom: -0.77
Raw total energy, eV per atom: -7.132
SG: P-6m2


(19)
Here is a relaxed structure of KPb4 from Alexandria. Energies are from PBEsol.

Cell lengths 6.374, 6.374, 6.374 Å; angles 96.90, 96.90, 139.43 degrees
Positions (direct):
1 K 0.000 0.000 0.000
2 Pb 0.180 0.593 0.772
3 Pb 0.407 0.180 0.587
4 Pb 0.593 0.820 0.413
5 Pb 0.820 0.407 0.228

Summary:
Density of states at the Fermi level, states/eV per cell: 2.39
Raw total energy, eV per atom: -3.491
ΔH_f (0 K), eV/atom: -0.065
SG: I4/m


(20)
Here is a relaxed structure of K3CeP2O8 from Alexandria. Energies are from PBEsol.

Cell lengths 7.440, 5.640, 9.570 Å; angles 90.00, 90.94, 90.00 degrees
Positions (direct):
1 K 0.008 0.250 0.191
2 K 0.139 0.750 0.407
3 K 0.300 0.250 0.916
4 K 0.700 0.750 0.084
5 K 0.861 0.250 0.593
6 K 0.992 0.750 0.809
7 Ce 0.492 0.750 0.708
8 Ce 0.508 0.250 0.292
9 P 0.263 0.750 0.085
10 P 0.302 0.250 0.574
11 P 0.698 0.750 0.426
12 P 0.737 0.250 0.915
13 O 0.058 0.750 0.100
14 O 0.215 0.250 0.425
15 O 0.243 0.025 0.655
16 O 0.243 0.475 0.655
17 O 0.319 0.750 0.930
18 O 0.344 0.526 0.158
19 O 0.344 0.974 0.158
20 O 0.491 0.750 0.444
21 O 0.509 0.250 0.556
22 O 0.656 0.026 0.842
23 O 0.656 0.474 0.842
24 O 0.681 0.250 0.070
25 O 0.757 0.525 0.345
26 O 0.757 0.975 0.345
27 O 0.785 0.750 0.575
28 O 0.942 0.250 0.900

Summary:
Density of states at the Fermi level, states/eV per cell: 16.04
Uncorrected formation energy, eV/atom: -2.56
Raw total energy, eV per atom: -7.101
SG: P2_1/m


(21)
Here is a relaxed structure of SrHfAs2 from Alexandria. Energies are from PBEsol.

Cell lengths 4.956, 4.956, 4.956 Å; angles 60.00, 60.00, 60.00 degrees
Positions (direct):
1 Sr 0.000 0.000 0.000
2 Hf 0.500 0.500 0.500
3 As 0.250 0.250 0.250
4 As 0.750 0.750 0.750

Summary:
Density of states at the Fermi level, states/eV per cell: 2.41
Raw total energy, eV per atom: -6.186
ΔH_f (0 K), eV/atom: -0.547
SG: Fm-3m


(22)
Here is a relaxed structure of CoIrRu from Alexandria. Energies are from PBEsol.

Cell lengths 4.015, 4.015, 4.015 Å; angles 60.00, 60.00, 60.00 degrees
Positions (direct):
1 Co 0.000 0.000 0.000
2 Ir 0.750 0.750 0.750
3 Ru 0.500 0.500 0.500

Summary:
Density of states at the Fermi level, states/eV per cell: 2.83
Raw total energy, eV per atom: -8.553
ΔH_f (0 K), eV/atom: 0.691
SG: F-43m


(23)
Here is a relaxed structure of Ta4FeP from Alexandria. Energies are from PBEsol.

Cell lengths 6.055, 6.055, 5.017 Å; angles 90.00, 90.00, 90.00 degrees
Positions (direct):
1 Ta 0.157 0.330 0.000
2 Ta 0.157 0.670 0.500
3 Ta 0.330 0.157 0.500
4 Ta 0.330 0.843 0.000
5 Ta 0.670 0.157 0.000
6 Ta 0.670 0.843 0.500
7 Ta 0.843 0.330 0.500
8 Ta 0.843 0.670 0.000
9 Fe 0.000 0.000 0.250
10 Fe 0.000 0.000 0.750
11 P 0.500 0.500 0.250
12 P 0.500 0.500 0.750

Summary:
Density of states at the Fermi level, states/eV per cell: 11.71
Raw total energy, eV per atom: -11.285
ΔH_f (0 K), eV/atom: -0.458
SG: P4/mcc


(24)
Here is a relaxed structure of LiMg2Hg2 from Alexandria. Energies are from PBEsol.

Cell lengths 7.970, 7.970, 3.302 Å; angles 90.00, 90.00, 90.00 degrees
Positions (direct):
1 Li 0.000 0.000 0.000
2 Li 0.500 0.500 0.000
3 Mg 0.156 0.344 0.500
4 Mg 0.344 0.844 0.500
5 Mg 0.656 0.156 0.500
6 Mg 0.844 0.656 0.500
7 Hg 0.144 0.644 0.000
8 Hg 0.356 0.144 0.000
9 Hg 0.644 0.856 0.000
10 Hg 0.856 0.356 0.000

Summary:
Density of states at the Fermi level, states/eV per cell: 3.08
Raw total energy, eV per atom: -1.587
ΔH_f (0 K), eV/atom: -0.280
SG: P4/mbm


(25)
Here is a relaxed structure of NbCoC2 from Alexandria. Energies are from PBEsol.

Cell lengths 3.739, 3.739, 3.739 Å; angles 60.00, 60.00, 60.00 degrees
Positions (direct):
1 Nb 0.000 0.000 0.000
2 Co 0.500 0.500 0.500
3 C 0.250 0.250 0.250
4 C 0.750 0.750 0.750

Summary:
Density of states at the Fermi level, states/eV per cell: 4.30
Raw total energy, eV per atom: -8.701
ΔH_f (0 K), eV/atom: 0.760
SG: Fm-3m


(26)
Here is a relaxed structure of ZnSnSeN2 from Alexandria. Energies are from PBEsol.

Cell lengths 4.017, 4.017, 5.713 Å; angles 90.00, 90.00, 90.00 degrees
Positions (direct):
1 Zn 0.000 0.000 0.000
2 Sn 0.500 0.500 0.500
3 Se 0.500 0.500 0.000
4 N 0.000 0.500 0.500
5 N 0.500 0.000 0.500

Summary:
Density of states at the Fermi level, states/eV per cell: 2.96
Uncorrected formation energy, eV/atom: 1.15
Raw total energy, eV per atom: -4.200
SG: P4/mmm